# CaTm2Tl2Ag2

A geometry-optimized CaTm2Tl2Ag2 structure (PBE, Alexandria via LeMat-Bulk). Values from VASP.

The structure in Quantum ESPRESSO input format:
```
&SYSTEM
  ibrav = 0, nat = 7, ntyp = 4
/
ATOMIC_SPECIES
Ca 40.08 Ca.upf
Tm 168.93 Tm.upf
Tl 204.38 Tl.upf
Ag 107.87 Ag.upf
CELL_PARAMETERS angstrom
2.469 1.425 8.823
-2.469 1.425 8.823
0.000 -2.850 8.823
ATOMIC_POSITIONS crystal
Ca 0.000 0.000 0.000
Tm 0.133 0.133 0.133
Tm 0.867 0.867 0.867
Tl 0.258 0.258 0.258
Tl 0.742 0.742 0.742
Ag 0.440 0.440 0.440
Ag 0.560 0.560 0.560
```

## Properties
Crystal system: trigonal
ΔH_f (0 K) (eV/atom): -0.164
Final energy (eV for the cell shown): -22.53
D(E_F) (states/eV per cell): 6.931

# La3SmS6

A geometry-optimized La3SmS6 structure (PBE, Alexandria via LeMat-Bulk). Values from VASP.

The structure in Quantum ESPRESSO input format:
```
&SYSTEM
  ibrav = 0, nat = 20, ntyp = 3
/
ATOMIC_SPECIES
La 138.91 La.upf
Sm 150.36 Sm.upf
S 32.06 S.upf
CELL_PARAMETERS angstrom
11.421 0.000 0.000
0.000 4.171 0.000
-3.485 0.000 11.260
ATOMIC_POSITIONS crystal
La 0.074 0.250 0.171
La 0.184 0.750 0.509
La 0.338 0.250 0.918
La 0.662 0.750 0.082
La 0.816 0.250 0.491
La 0.926 0.750 0.829
Sm 0.457 0.250 0.316
Sm 0.543 0.750 0.684
S 0.026 0.250 0.390
S 0.093 0.250 0.931
S 0.253 0.750 0.283
S 0.319 0.750 0.753
S 0.394 0.250 0.542
S 0.416 0.750 0.101
S 0.584 0.250 0.899
S 0.606 0.750 0.458
S 0.681 0.250 0.247
S 0.747 0.250 0.717
S 0.907 0.750 0.069
S 0.974 0.750 0.610
```

## Properties
Crystal system: monoclinic
Energy relative to the elements, uncorrected (eV/f.u.): -21.15
Final energy (eV for the cell shown): -130.84
Energy above the most stable polymorph in this dataset (kJ/mol of formula units): 30